## A
DFT (PBE) results for a relaxed InGa2TcAs crystal.

Values from the calculation:
The mass density is 5.93 g cm⁻³.

a = 5.0283 Å, b = 5.0283 Å, c = 4.7335 Å
α = 90.00°, β = 90.00°, γ = 90.00°
With the nearest neighbours (Å) after each atom.
Element x y z (fractional)
In 0.0000 0.0000 0.0000  8 Ga 3.45, 4 Tc 3.56
Ga 0.0000 0.5000 0.5000  2 As 2.51
Ga 0.5000 0.0000 0.5000  2 As 2.51
Tc 0.5000 0.5000 0.0000  2 As 2.37
As 0.5000 0.5000 0.5000  2 Tc 2.37, 4 Ga 2.51


## B
DFT (PBE) results for a relaxed InGa2TcAs crystal.

Values from the calculation:
The mass density is 5.12 g cm⁻³.

a = 5.1160 Å, b = 5.1160 Å, c = 5.2904 Å
α = 90.00°, β = 90.00°, γ = 90.00°
With the nearest neighbours (Å) after each atom.
Element x y z (fractional)
In 0.0000 0.0000 0.0000  4 Ga 2.56, 2 As 2.65
Ga 0.0000 0.5000 0.0000  2 In 2.56
Ga 0.5000 0.0000 0.0000  2 In 2.56
Tc 0.5000 0.5000 0.5000  4 As 3.62, 8 Ga 3.68
As 0.0000 0.0000 0.5000  2 In 2.65


Verdict on stability: B comes out at the bottom.